Here is a relaxed structure of MnSi2TcAg from Alexandria. Energies are from GGA-PBE.

DOS(E_F) = 3.158 states/eV per cell
Energy relative to the lowest polymorph listed for this composition = 58.0 kJ/mol of atoms
Space group = P4/mmm, No. 123

a = 4.641 Å, b = 4.641 Å, c = 4.854 Å
α = 90.00°, β = 90.00°, γ = 90.00°
Fractional coordinates of all 5 atoms:
Mn (0.000, 0.000, 0.000)
Si (0.000, 0.500, 0.500)
Si (0.500, 0.000, 0.500)
Tc (0.500, 0.500, 0.000)
Ag (0.000, 0.000, 0.500)